A relaxed structure of Ca3Sm3Pt4, computed with PBE.

Output
E_form   -942 meV per atom
V   25.088 Å³ per atom
E_tot   -5.37 eV per atom
Crystal system   orthorhombic
Total magnetization   0.000 Bohr magnetons per cell
Density of states at the Fermi level   6.28 states/eV/f.u.

abc: 4.026 7.894 7.894
angles: 90.96 90.00 90.00
Atoms (fractional coordinates):
Ca: 0.000 0.495 0.997
Ca: 0.000 0.003 0.505
Ca: 0.500 0.160 0.840
Sm: 0.500 0.843 0.157
Sm: 0.500 0.341 0.341
Sm: 0.500 0.659 0.659
Pt: 0.000 0.640 0.360
Pt: 0.000 0.372 0.628
Pt: 0.000 0.855 0.868
Pt: 0.000 0.132 0.145